Compound: LiMg2Os
Source: Alexandria
Functional: PBE-GGA
Structure: optimized geometry

Cell: 3.8814 3.8814 9.6028 Å, 78.34 78.34 90.00°
Fractional coordinates of all 8 atoms:
Mg (0.6342, 0.1250, 0.2500)
Mg (0.1158, 0.6250, 0.2500)
Mg (0.3750, 0.3658, 0.7500)
Mg (0.8750, 0.8842, 0.7500)
Os (0.0000, 0.0000, 0.0000)
Os (0.7500, 0.2500, 0.5000)
Li (0.5000, 0.5000, 0.0000)
Li (0.2500, 0.7500, 0.5000)

Spin magnetization: 0.000 μB per formula unit
Calculated volume: 17.3 Å³/atom
Space group: No. 122
Formation energy: 668 meV per atom

Compound: Ce2Ge6Pt
Source: Alexandria
Functional: PBE-GGA
Structure: optimized geometry

Cell: 11.2513 11.2513 4.1654 Å, 90.00 90.00 158.84°
Fractional coordinates of all 9 atoms:
Ce (0.2210, 0.7790, 0.5000)
Ce (0.8855, 0.1145, 0.5000)
Ge (0.5063, 0.4937, 0.5000)
Ge (0.6195, 0.3805, 0.5000)
Ge (0.0068, 0.9932, 0.0000)
Ge (0.1201, 0.8799, 0.0000)
Ge (0.3306, 0.6694, 0.0000)
Ge (0.7617, 0.2383, 0.0000)
Pt (0.4416, 0.5584, 0.0000)

Spin magnetization: 1.039 μB per formula unit
Calculated volume: 21.1 Å³/atom
Space group: No. 38
Relative energy among the computed polymorphs: 0.0000 eV per atom
Formation energy: -545 meV per atom

Compound: InAgP2Cl
Source: Alexandria
Functional: PBE-GGA
Structure: optimized geometry

Cell: 5.0788 5.0788 5.2383 Å, 90.00 90.00 90.00°
Fractional coordinates of all 5 atoms:
P (0.0000, 0.5000, 0.0000)
P (0.5000, 0.0000, 0.0000)
Cl (0.0000, 0.0000, 0.5000)
Ag (0.5000, 0.5000, 0.5000)
In (0.0000, 0.0000, 0.0000)

Spin magnetization: 1.340 μB per formula unit
Calculated volume: 27.0 Å³/atom
Space group: No. 123
Energy relative to the elements, uncorrected: 0.77 eV/atom
Relative energy among the computed polymorphs: 0.1651 eV per atom

Compound: Nd2ErTe
Source: Alexandria
Functional: PBE-GGA
Structure: optimized geometry

Cell: 3.9683 3.9683 10.2793 Å, 78.87 78.87 60.00°
Fractional coordinates of all 4 atoms:
Te (0.5000, 0.5000, 0.5000)
Nd (0.2396, 0.2396, 0.2813)
Nd (0.7604, 0.7604, 0.7187)
Er (0.0000, 0.0000, 0.0000)

Spin magnetization: 0.415 μB per formula unit
Calculated volume: 34.2 Å³/atom
Space group: No. 166
Energy relative to the elements, uncorrected: -0.51 eV/atom
Relative energy among the computed polymorphs: 0.0579 eV per atom